A geometry-optimized Tb2DyZn3CoAu2 structure. Source: OQMD, functional PBE.

Properties
For the formation energy, the calculation gives -547 meV/atom. Its total magnetization is 0.1 μB per formula unit.

Cell: 3.956 7.253 7.253 Å, 119.93 90.00 90.00°
Atoms (fractional coordinates):
Tb (0.000, 0.195, 0.805)
Tb (0.000, 0.805, 0.195)
Dy (0.000, 0.414, 0.414)
Zn (0.500, 0.032, 0.032)
Zn (0.500, 0.577, 0.804)
Zn (0.500, 0.804, 0.577)
Co (0.000, 0.804, 0.804)
Au (0.500, 0.139, 0.471)
Au (0.500, 0.471, 0.139)

A geometry-optimized ErCoAu structure. Source: OQMD, functional PBE.

Properties
For the formation energy, the calculation gives 261 meV/atom. Its total magnetization is 1.0 μB per formula unit.

Cell: 4.517 4.517 4.517 Å, 60.00 60.00 60.00°
Atoms (fractional coordinates):
Er (0.000, 0.000, 0.000)
Co (0.250, 0.250, 0.250)
Au (0.750, 0.750, 0.750)

A geometry-optimized TbEr2Zn3CoAu2 structure. Source: OQMD, functional PBE.

Properties
For the formation energy, the calculation gives -555 meV/atom. Its total magnetization is 0.0 μB per formula unit.

Cell: 3.941 7.207 7.207 Å, 120.15 90.00 90.00°
Atoms (fractional coordinates):
Tb (0.000, 0.000, 0.000)
Er (0.000, 0.392, 0.781)
Er (0.000, 0.781, 0.392)
Zn (0.500, 0.166, 0.393)
Zn (0.500, 0.393, 0.166)
Zn (0.500, 0.619, 0.619)
Co (0.000, 0.393, 0.393)
Au (0.500, 0.059, 0.722)
Au (0.500, 0.722, 0.059)

A geometry-optimized Tb2ErZn3CoAu2 structure. Source: OQMD, functional PBE.

Properties
For the formation energy, the calculation gives -550 meV/atom. Its total magnetization is 0.0 μB per formula unit.

Cell: 3.955 7.221 7.221 Å, 119.77 90.00 90.00°
Atoms (fractional coordinates):
Tb (0.000, 0.196, 0.804)
Tb (0.000, 0.804, 0.196)
Er (0.000, 0.584, 0.584)
Zn (0.500, 0.196, 0.423)
Zn (0.500, 0.423, 0.196)
Zn (0.500, 0.970, 0.970)
Co (0.000, 0.198, 0.198)
Au (0.500, 0.530, 0.859)
Au (0.500, 0.859, 0.530)